VASP calculation (meta-GGA SCAN) on a PBEsol-optimized structure of Zr2AgSnRh.

Lattice parameters (Å, degrees): 4.9536 4.9536 4.7777 90.00 90.00 90.00
Closest atoms and distances in Å follow each position.
Space group P4/mmm (No. 123)
One atom of each set of equivalent atoms:
Zr 0.0000 0.5000 0.0000 x2  2 Ag 2.48
Ag 0.0000 0.0000 0.0000 x1  2 Rh 2.39, 4 Zr 2.48
Sn 0.5000 0.5000 0.5000 x1  8 Zr 3.44, 4 Rh 3.50
Rh 0.0000 0.0000 0.5000 x1  2 Ag 2.39

Summary:
Energy relative to the elements = 0.705 eV/atom
Energy = -31.79 eV per atom
Volume = 117.23 Å³/cell

***

VASP calculation (meta-GGA SCAN) on a PBEsol-optimized structure of SrAgRh2.

Lattice parameters (Å, degrees): 2.9806 4.8658 10.1119 90.00 90.00 90.00
Closest atoms and distances in Å follow each position.
Space group Imm2 (No. 44)
One atom of each set of equivalent atoms:
Sr 0.0000 0.0000 0.0000 x2  6 Rh 2.86-3.14, 2 Sr 2.98
Ag 0.0000 0.5000 0.2177 x2  6 Rh 2.82-2.91, 2 Ag 2.98
Rh 0.0000 0.0000 0.4809 x2  2 Rh 2.57, 2 Ag 2.82, 4 Sr 2.86
Rh 0.0000 0.5000 0.7738 x2  2 Rh 2.57

Summary:
Energy relative to the elements = 0.196 eV/atom
Energy = -30.10 eV per atom
Volume = 146.66 Å³/cell

***

VASP calculation (meta-GGA SCAN) on a PBEsol-optimized structure of SrAgRh2.

Lattice parameters (Å, degrees): 4.2115 4.2115 8.0447 90.00 90.00 90.00
Closest atoms and distances in Å follow each position.
Space group I4/mmm (No. 139)
One atom of each set of equivalent atoms:
Sr 0.0000 0.0000 0.0000 x2  8 Rh 2.91, 4 Ag 2.98
Ag 0.0000 0.0000 0.5000 x2  8 Rh 2.91, 4 Sr 2.98
Rh 0.0000 0.5000 0.2500 x4  4 Sr 2.91, 4 Ag 2.91, 4 Rh 2.98

Summary:
Energy relative to the elements = 0.283 eV/atom
Energy = -30.01 eV per atom
Volume = 142.69 Å³/cell

***

VASP calculation (meta-GGA SCAN) on a PBEsol-optimized structure of SrAgRh2.

Lattice parameters (Å, degrees): 3.3951 3.3951 6.4115 90.00 90.00 90.00
Closest atoms and distances in Å follow each position.
Space group P4/mmm (No. 123)
One atom of each set of equivalent atoms:
Sr 0.0000 0.0000 0.0000 x1  8 Rh 3.06, 2 Ag 3.21, 4 Sr 3.40
Ag 0.0000 0.0000 0.5000 x1  8 Rh 2.74
Rh 0.5000 0.5000 0.2955 x2  1 Rh 2.62, 4 Ag 2.74

Summary:
Energy relative to the elements = 0.301 eV/atom
Energy = -29.99 eV per atom
Volume = 73.90 Å³/cell

***

VASP calculation (meta-GGA SCAN) on a PBEsol-optimized structure of TaAgRh.

Lattice parameters (Å, degrees): 4.4176 4.4176 2.7989 90.00 90.00 120.00
Closest atoms and distances in Å follow each position.
Space group P3m1 (No. 156)
One atom of each set of equivalent atoms:
Ta 0.0000 0.0000 0.0000 x1  3 Rh 2.62, 3 Ag 2.79, 2 Ta 2.80
Ag 0.3333 0.6667 0.5982 x1  6 Rh 2.78-3.07, 6 Ta 2.79-3.05, 2 Ag 2.80
Rh 0.6667 0.3333 0.2070 x1  3 Ta 2.62, 3 Ag 2.78, 2 Rh 2.80

Summary:
Energy relative to the elements = -0.048 eV/atom
Energy = -43.95 eV per atom
Volume = 47.30 Å³/cell

***

VASP calculation (meta-GGA SCAN) on a PBEsol-optimized structure of TaAg2Rh.

Lattice parameters (Å, degrees): 9.7255 2.8473 4.6369 90.00 100.41 90.00
Closest atoms and distances in Å follow each position.
Space group C2/m (No. 12)
One atom of each set of equivalent atoms:
Ta 0.0000 0.0000 0.0000 x2  4 Rh 2.72, 2 Ta 2.85, 6 Ag 2.86-2.90
Ag 0.2471 0.0000 0.7479 x4  6 Ag 2.71-2.85, 3 Rh 2.85-2.90, 3 Ta 2.86-2.90
Rh 0.0000 0.5000 0.5000 x2  4 Ta 2.72, 2 Rh 2.85, 6 Ag 2.85-2.90

Summary:
Energy relative to the elements = 0.064 eV/atom
Energy = -40.71 eV per atom
Volume = 126.29 Å³/cell

***

VASP calculation (meta-GGA SCAN) on a PBEsol-optimized structure of TaAgRh.

Lattice parameters (Å, degrees): 2.8642 3.8429 8.4805 90.00 90.00 90.00
Closest atoms and distances in Å follow each position.
Space group Imm2 (No. 44)
One atom of each set of equivalent atoms:
Ta 0.0000 0.0000 0.0000 x2  5 Rh 2.73-2.92, 5 Ag 2.76-2.82, 2 Ta 2.86
Ag 0.0000 0.0000 0.6751 x2  5 Ta 2.76-2.82, 5 Rh 2.80, 2 Ag 2.86
Rh 0.0000 0.0000 0.3449 x2  5 Ta 2.73-2.92, 5 Ag 2.80, 2 Rh 2.86

Summary:
Energy relative to the elements = -0.156 eV/atom
Energy = -44.06 eV per atom
Volume = 93.34 Å³/cell

***

VASP calculation (meta-GGA SCAN) on a PBEsol-optimized structure of TaAg2Rh.

Lattice parameters (Å, degrees): 3.9670 3.9787 7.9064 90.00 90.00 90.00
Closest atoms and distances in Å follow each position.
Space group Imm2 (No. 44)
One atom of each set of equivalent atoms:
Ta 0.0000 0.0000 0.0000 x2  4 Rh 2.80-2.81, 8 Ag 2.80-2.81
Ag 0.0000 0.0000 0.5004 x2  4 Ag 2.80, 4 Rh 2.80, 4 Ta 2.81
Ag 0.0000 0.5000 0.7502 x2  4 Ag 2.80, 4 Ta 2.80, 4 Rh 2.81
Rh 0.0000 0.5000 0.2506 x2  4 Ta 2.80-2.81, 8 Ag 2.80-2.81

Summary:
Energy relative to the elements = 0.092 eV/atom
Energy = -40.68 eV per atom
Volume = 124.79 Å³/cell

***

VASP calculation (meta-GGA SCAN) on a PBEsol-optimized structure of TaAgRh2.

Lattice parameters (Å, degrees): 2.8071 2.8071 26.8865 90.00 90.00 120.00
Closest atoms and distances in Å follow each position.
Space group R-3m (No. 166, hexagonal axes)
One atom of each set of equivalent atoms:
Ta 0.0000 0.0000 0.0000 x3  6 Rh 2.69, 6 Ta 2.81
Ag 0.0000 0.0000 0.5000 x3  6 Ag 2.81, 6 Rh 2.85
Rh 0.0000 0.0000 0.2537 x6  3 Ta 2.69, 6 Rh 2.81, 3 Ag 2.85

Summary:
Energy relative to the elements = -0.169 eV/atom
Energy = -41.54 eV per atom
Volume = 183.48 Å³/cell

***

VASP calculation (meta-GGA SCAN) on a PBEsol-optimized structure of TaAgRh2.

Lattice parameters (Å, degrees): 2.7658 2.7658 27.5965 90.00 90.00 120.00
Closest atoms and distances in Å follow each position.
Space group R3m (No. 160, hexagonal axes)
One atom of each set of equivalent atoms:
Ta 0.0000 0.0000 0.0000 x3  3 Rh 2.73, 6 Ta 2.77, 3 Ag 2.95
Ag 0.0000 0.0000 0.2435 x3  6 Ag 2.77, 3 Rh 2.82, 3 Ta 2.95
Rh 0.0000 0.0000 0.4927 x3  9 Rh 2.70-2.77, 3 Ag 2.82
Rh 0.0000 0.0000 0.7470 x3  9 Rh 2.70-2.77, 3 Ta 2.73

Summary:
Energy relative to the elements = 0.087 eV/atom
Energy = -41.29 eV per atom
Volume = 182.82 Å³/cell

***

VASP calculation (meta-GGA SCAN) on a PBEsol-optimized structure of TaAgRh2.

Lattice parameters (Å, degrees): 3.3584 3.3584 5.5104 90.00 90.00 90.00
Closest atoms and distances in Å follow each position.
Space group P4mm (No. 99)
One atom of each set of equivalent atoms:
Ta 0.0000 0.0000 0.0000 x1  5 Rh 2.53-2.61
Ag 0.5000 0.5000 0.2970 x1  6 Rh 2.71-2.80, 4 Ta 2.88
Rh 0.0000 0.0000 0.5402 x1  1 Ta 2.53, 4 Ag 2.73, 4 Rh 2.79
Rh 0.5000 0.5000 0.8045 x1  4 Ta 2.61, 2 Ag 2.71-2.80, 4 Rh 2.79

Summary:
Energy relative to the elements = -0.033 eV/atom
Energy = -41.41 eV per atom
Volume = 62.15 Å³/cell

***

VASP calculation (meta-GGA SCAN) on a PBEsol-optimized structure of TaAgRh2.

Lattice parameters (Å, degrees): 3.8254 3.8254 8.1452 90.00 90.00 90.00
Closest atoms and distances in Å follow each position.
Space group I-4m2 (No. 119)
One atom of each set of equivalent atoms:
Ta 0.0000 0.0000 0.0000 x2  8 Rh 2.70-2.79, 4 Ag 2.79
Ag 0.0000 0.5000 0.2500 x2  8 Rh 2.70-2.79, 4 Ta 2.79
Rh 0.0000 0.0000 0.5000 x2  4 Ta 2.70, 4 Rh 2.79, 4 Ag 2.79
Rh 0.0000 0.5000 0.7500 x2  4 Ag 2.70, 4 Ta 2.79, 4 Rh 2.79

Summary:
Energy relative to the elements = -0.206 eV/atom
Energy = -41.58 eV per atom
Volume = 119.19 Å³/cell